# Ca2MgTa

An optimized crystal structure of Ca2MgTa (PBE-GGA, Alexandria via LeMat-Bulk).

a = 6.3878 Å, b = 6.3878 Å, c = 6.3878 Å
α = 148.95°, β = 128.42°, γ = 61.43°
With the nearest neighbours (Å) after each atom.
Atoms (fractional coordinates):
Ca (0.4992, 0.4992, 0.0000)  2 Ta 3.23, 2 Mg 3.24, 6 Ca 3.26-3.42
Ca (0.0008, 0.0008, 0.0000)  2 Ta 3.23, 2 Mg 3.24, 6 Ca 3.26-3.42
Ta (0.2500, 0.7500, 0.5000)  4 Ca 3.23, 4 Mg 3.26, 2 Ta 3.42
Mg (0.7500, 0.2500, 0.5000)  4 Ca 3.24, 4 Ta 3.26, 2 Mg 3.42

## Properties
formation enthalpy at 0 K = 0.66 eV/atom

***

# Nd5Cu2

An optimized crystal structure of Nd5Cu2 (PBE-GGA, Alexandria via LeMat-Bulk).

a = 6.7422 Å, b = 7.0748 Å, c = 9.2438 Å
α = 95.15°, β = 111.39°, γ = 90.00°
With the nearest neighbours (Å) after each atom.
Atoms (fractional coordinates):
Nd (0.7882, 0.2938, 0.4383)  2 Cu 2.94-2.97
Nd (0.9877, 0.9399, 0.1888)  2 Cu 2.91-3.00
Nd (0.2118, 0.7062, 0.5617)  2 Cu 2.94-2.97
Nd (0.4362, 0.7500, 0.0000)  4 Cu 2.92-2.97
Nd (0.0123, 0.0601, 0.8112)  2 Cu 2.91-3.00
Nd (0.7989, 0.5601, 0.8112)  2 Cu 2.91-3.00
Nd (0.5638, 0.2500, 0.0000)  4 Cu 2.92-2.97
Nd (0.6501, 0.7938, 0.4383)  2 Cu 2.94-2.97
Nd (0.2011, 0.4399, 0.1888)  2 Cu 2.91-3.00
Nd (0.3499, 0.2062, 0.5617)  2 Cu 2.94-2.97
Cu (0.1938, 0.4354, 0.7806)  6 Nd 2.91-3.00
Cu (0.4132, 0.0646, 0.2194)  6 Nd 2.91-3.00
Cu (0.5868, 0.9354, 0.7806)  6 Nd 2.91-3.00
Cu (0.8062, 0.5646, 0.2194)  6 Nd 2.91-3.00

## Properties
formation enthalpy at 0 K = -0.06 eV/atom

***

# PuZnCd2O6

An optimized crystal structure of PuZnCd2O6 (PBE-GGA, Alexandria via LeMat-Bulk).

a = 5.5994 Å, b = 5.5996 Å, c = 5.8349 Å
α = 61.32°, β = 61.33°, γ = 60.00°
With the nearest neighbours (Å) after each atom.
Atoms (fractional coordinates):
O (0.4567, 0.6769, 0.7764)  1 Zn 2.09, 1 Pu 2.10, 1 Cd 2.25
O (0.1834, 0.9625, 0.2732)  1 Pu 2.08, 1 Zn 2.19, 1 Cd 2.24
O (0.6768, 0.0900, 0.7764)  1 Zn 2.09, 1 Pu 2.10, 1 Cd 2.25
O (0.5809, 0.1833, 0.2733)  1 Pu 2.09, 1 Zn 2.19, 1 Cd 2.24
O (0.0900, 0.4568, 0.7764)  1 Zn 2.09, 1 Pu 2.10, 1 Cd 2.25
O (0.9625, 0.5808, 0.2732)  1 Pu 2.08, 1 Zn 2.19, 1 Cd 2.24
Cd (0.5400, 0.5400, 0.3801)  3 O 2.24
Cd (0.0374, 0.0374, 0.8878)  3 O 2.25
Pu (0.3195, 0.3195, 0.0414)  6 O 2.08-2.10
Zn (0.8143, 0.8144, 0.5570)  6 O 2.09-2.19

## Properties
raw formation energy = -1.65 eV/atom

***

# KHf3Br

An optimized crystal structure of KHf3Br (PBE-GGA, Alexandria via LeMat-Bulk).

a = 5.1340 Å, b = 5.1340 Å, c = 5.1340 Å
α = 90.00°, β = 90.00°, γ = 90.00°
With the nearest neighbours (Å) after each atom.
Atoms (fractional coordinates):
K (0.0000, 0.0000, 0.0000)  6 Hf 2.57
Hf (0.0000, 0.5000, 0.0000)  2 K 2.57
Hf (0.0000, 0.0000, 0.5000)  2 K 2.57
Hf (0.5000, 0.0000, 0.0000)  2 K 2.57
Br (0.5000, 0.5000, 0.5000)  12 Hf 3.63

## Properties
excess energy over the best structure of this formula in the dataset = 1.3389 eV/atom
raw formation energy = 2.26 eV/atom

***

Number 1: energy -3.701 eV/atom, density of states at the Fermi level 1.223 states/eV per atom. Number 2: energy -4.636 eV/atom, density of states at the Fermi level 1.113 states/eV per atom. Number 3: energy -6.373 eV/atom, density of states at the Fermi level 0.681 states/eV per atom. Number 4: energy -4.263 eV/atom, density of states at the Fermi level 0.746 states/eV per atom.